A geometry-optimized AcCe2FeN5 structure, computed with PBE.

Unit cell a=6.7007 b=6.7007 c=11.2734 alpha=90.00 beta=90.00 gamma=90.00
Closest atoms and distances in Å follow each position.
Space group I4/mcm (No. 140)
Asymmetric unit:
Ac (0.0000, 0.0000, 0.2500) (multiplicity 4)  10 N 2.82-2.87
Ce (0.1776, 0.3224, 0.0000) (multiplicity 8)  4 N 2.36-2.47
Fe (0.0000, 0.5000, 0.2500) (multiplicity 4)  4 N 1.80
N (0.0000, 0.0000, 0.0000) (multiplicity 4)  4 Ce 2.47
N (0.1382, 0.3618, 0.3590) (multiplicity 16)  1 Fe 1.80

Output
E_form (uncorrected)   -1.067 eV per atom
DOS(E_F)   4.901 states/eV/f.u.
Total magnetic moment   7.15 Bohr magnetons per cell
Final energy   -8.41 eV/atom